Record 1
The following is a DFT calculation (PBE-GGA) of a relaxed structure of Ta4MnMo.

```
6
Lattice="0.000 3.800 3.800 3.800 0.000 3.800 3.800 3.800 0.000" Properties=species:S:1:pos:R:3 pbc="T T T"
Ta 2.846 4.755 4.755
Ta 4.755 4.755 2.846
Ta 4.755 2.846 4.755
Ta 2.846 2.846 2.846
Mn 5.700 5.700 5.700
Mo 0.000 0.000 0.000
```

Values from the calculation:
The polymorph energy (0 for the lowest one) is 0.631 eV/atom.



Record 2
The following is a DFT calculation (PBE-GGA) of a relaxed structure of Ta4MnMo.

```
6
Lattice="4.309 0.000 -0.001 0.000 4.310 -0.001 0.003 0.005 6.172" Properties=species:S:1:pos:R:3 pbc="T T T"
Ta 2.160 4.298 1.604
Ta 2.163 4.303 4.541
Ta 0.009 2.149 4.543
Ta 0.006 2.143 1.605
Mn 0.007 4.301 3.073
Mo 2.163 2.149 6.159
```

Values from the calculation:
The polymorph energy (0 for the lowest one) is 0.611 eV/atom.



Record 3
The following is a DFT calculation (PBE-GGA) of a relaxed structure of TaMnMo3.

```
5
Lattice="4.708 0.000 0.000 0.000 4.708 0.000 0.000 0.000 4.708" Properties=species:S:1:pos:R:3 pbc="T T T"
Mo 0.000 2.354 0.000
Mo 0.000 0.000 2.354
Mo 2.354 0.000 0.000
Mn 2.354 2.354 2.354
Ta 0.000 0.000 0.000
```

Values from the calculation:
The polymorph energy (0 for the lowest one) is 1.306 eV/atom.



Record 4
The following is a DFT calculation (PBE-GGA) of a relaxed structure of TaMnMo2.

```
4
Lattice="3.131 0.000 0.000 0.000 4.369 0.000 0.000 0.000 4.444" Properties=species:S:1:pos:R:3 pbc="T T T"
Mn 0.000 2.184 2.222
Mo 0.000 0.000 0.000
Mo 1.566 2.184 0.000
Ta 1.566 0.000 2.222
```

Values from the calculation:
The polymorph energy (0 for the lowest one) is 0.008 eV/atom.



Number 1: Fermi-level density of states 1.003 states/eV/atom, theoretical density 13.233 Mg/m³, DFT formation energy 485 meV/atom. Number 2: Fermi-level density of states 0.887 states/eV/atom, theoretical density 12.671 Mg/m³, DFT formation energy 466 meV/atom. Number 3: Fermi-level density of states 1.665 states/eV/atom, theoretical density 8.335 Mg/m³, DFT formation energy 2295 meV/atom. Number 4: Fermi-level density of states 0.576 states/eV/atom, theoretical density 11.684 Mg/m³, DFT formation energy -45 meV/atom.